(1)
! YZn2Tc PBE optimized geometry; values from VASP
&SYSTEM
  ibrav = 0, nat = 4, ntyp = 3
/
ATOMIC_SPECIES
Y 88.91 Y.upf
Zn 65.41 Zn.upf
Tc 98.00 Tc.upf
ATOMIC_POSITIONS crystal
Y 0.0000 0.0000 0.0000
Zn 0.2500 0.2500 0.2500
Zn 0.5000 0.5000 0.5000
Tc 0.7500 0.7500 0.7500
CELL_PARAMETERS angstrom
0.0000 3.2884 3.2884
3.2884 0.0000 3.2884
3.2884 3.2884 0.0000
! Calculated total energy   -18.66 eV for the cell shown
! Volume   71 Å³/f.u.
! DFT formation energy   0.173 eV per atom
! Total magnetization   0.00 μB/cell



(2)
! Tb2PrAl7Cu2 PBE optimized geometry; values from VASP
&SYSTEM
  ibrav = 0, nat = 12, ntyp = 4
/
ATOMIC_SPECIES
Tb 158.93 Tb.upf
Pr 140.91 Pr.upf
Al 26.98 Al.upf
Cu 63.55 Cu.upf
ATOMIC_POSITIONS crystal
Tb 0.1420 0.1420 0.1420
Tb 0.8580 0.8580 0.8580
Pr 0.0000 0.0000 0.0000
Al 0.0729 0.5824 0.5824
Al 0.4176 0.4176 0.9271
Al 0.4176 0.9271 0.4176
Al 0.5000 0.5000 0.5000
Al 0.5824 0.0729 0.5824
Al 0.5824 0.5824 0.0729
Al 0.9271 0.4176 0.4176
Cu 0.3354 0.3354 0.3354
Cu 0.6646 0.6646 0.6646
CELL_PARAMETERS angstrom
2.7668 1.5974 8.5525
-2.7668 1.5974 8.5525
0.0000 -3.1948 8.5525
! Calculated total energy   -53.67 eV for the cell shown
! Volume   227 Å³/f.u.
! Total magnetization   0.01 μB/cell